# 1
Here is a relaxed structure of Re3Tc7Ru from Alexandria via LeMat-Bulk. Energies are from GGA-PBE.

The structure belongs to space group P3m1 (No. 156); the cell edges are 5.4803, 5.4803 and 6.5377 Å and the angles 90.00°, 90.00° and 120.00°. The distinct sites, in fractional coordinates, are Re at (0.9997, 0.4998, 0.0000), Tc at (0.1612, 0.3224, 0.3256), Tc at (0.3154, 0.1577, 0.6781), Tc at (0.6667, 0.3333, 0.3598) and Ru at (0.3333, 0.6667, 0.6467).

As for the uncorrected energy: -115.77 eV/cell.



# 2
Here is a relaxed structure of ReTcRu2 from Alexandria via LeMat-Bulk. Energies are from GGA-PBE.

The structure belongs to space group I-42d (No. 122); the cell edges are 5.5830, 5.5830 and 10.8952 Å and the angles 90.00°, 90.00° and 90.00°. The distinct sites, in fractional coordinates, are Re at (0.0000, 0.0000, 0.0000), Tc at (0.0000, 0.0000, 0.5000) and Ru at (0.2482, 0.2500, 0.6250).

As for the uncorrected energy: -144.17 eV/cell.



# 3
Here is a relaxed structure of ReTc2Ru from Alexandria via LeMat-Bulk. Energies are from GGA-PBE.

The structure belongs to space group P4mm (No. 99); the cell edges are 2.7369, 2.7369 and 7.7631 Å and the angles 90.00°, 90.00° and 90.00°. The distinct sites, in fractional coordinates, are Re at (0.0000, 0.0000, 0.0000), Tc at (0.0000, 0.0000, 0.4971), Tc at (0.5000, 0.5000, 0.7460) and Ru at (0.5000, 0.5000, 0.2453).

As for the uncorrected energy: -42.24 eV/cell.



# 4
Here is a relaxed structure of Re4Tc5Ru from Alexandria via LeMat-Bulk. Energies are from GGA-PBE.

The structure belongs to space group C2/m (No. 12); the cell edges are 14.3961, 2.8427 and 8.3838 Å and the angles 90.00°, 116.35° and 90.00°. The distinct sites, in fractional coordinates, are Re at (0.0146, 0.0000, 0.2610), Re at (0.1628, 0.5000, 0.8825), Tc at (0.0000, 0.5000, 0.0000), Tc at (0.1747, 0.0000, 0.1821), Tc at (0.1854, 0.0000, 0.5523) and Ru at (0.0000, 0.5000, 0.5000).

As for the uncorrected energy: -214.82 eV/cell.



# 5
Here is a relaxed structure of ReTcRu4 from Alexandria via LeMat-Bulk. Energies are from GGA-PBE.

The structure belongs to space group Cmcm (No. 63); the cell edges are 8.1541, 10.0177 and 4.2224 Å and the angles 90.00°, 90.00° and 90.00°. The distinct sites, in fractional coordinates, are Re at (0.0000, 0.1709, 0.2500), Tc at (0.0000, 0.4355, 0.2500), Ru at (0.1663, 0.0674, 0.7500) and Ru at (0.1718, 0.3270, 0.7500).

As for the uncorrected energy: -237.12 eV/cell.



# 6
Here is a relaxed structure of Re2TcRu from Alexandria via LeMat-Bulk. Energies are from GGA-PBE.

The structure belongs to space group R-3m (No. 166, hexagonal axes); the cell edges are 2.7425, 2.7425 and 26.9842 Å and the angles 90.00°, 90.00° and 120.00°. The distinct sites, in fractional coordinates, are Re at (0.0000, 0.0000, 0.2500), Tc at (0.0000, 0.0000, 0.0000) and Ru at (0.0000, 0.0000, 0.5000).

As for the uncorrected energy: -133.00 eV/cell.



# 7
Here is a relaxed structure of ReTc2Ru from Alexandria via LeMat-Bulk. Energies are from GGA-PBE.

The structure belongs to space group R3m (No. 160, hexagonal axes); the cell edges are 4.2798, 4.2798 and 11.6187 Å and the angles 90.00°, 90.00° and 120.00°. The distinct sites, in fractional coordinates, are Re at (0.0000, 0.0000, 0.0000), Tc at (0.0000, 0.0000, 0.5383), Tc at (0.0000, 0.0000, 0.7570) and Ru at (0.0000, 0.0000, 0.2181).

As for the uncorrected energy: -123.03 eV/cell.



# 8
Here is a relaxed structure of Re2TcRu from Alexandria via LeMat-Bulk. Energies are from GGA-PBE.

The structure belongs to space group Pmm2 (No. 25); the cell edges are 2.7410, 3.8741 and 5.5164 Å and the angles 90.00°, 90.00° and 90.00°. The distinct sites, in fractional coordinates, are Re at (0.0000, 0.0000, 0.0000), Re at (0.5000, 0.5000, 0.2564), Tc at (0.5000, 0.5000, 0.7500) and Ru at (0.0000, 0.0000, 0.5023).

As for the uncorrected energy: -44.29 eV/cell.



# 9
Here is a relaxed structure of ReTc2Ru from Alexandria via LeMat-Bulk. Energies are from GGA-PBE.

The structure belongs to space group Cm (No. 8); the cell edges are 9.0924, 2.7375 and 4.7517 Å and the angles 90.00°, 100.21° and 90.00°. The distinct sites, in fractional coordinates, are Re at (0.0000, 0.0000, 0.0000), Tc at (0.2529, 0.0000, 0.7427), Tc at (0.4955, 0.0000, 0.4960) and Ru at (0.2516, 0.5000, 0.2433).

As for the uncorrected energy: -84.49 eV/cell.



# 10
Here is a relaxed structure of ReTc2Ru from Alexandria via LeMat-Bulk. Energies are from GGA-PBE.

The structure belongs to space group I4/mmm (No. 139); the cell edges are 3.8696, 3.8696 and 7.7632 Å and the angles 90.00°, 90.00° and 90.00°. The distinct sites, in fractional coordinates, are Re at (0.0000, 0.0000, 0.0000), Tc at (0.0000, 0.5000, 0.2500) and Ru at (0.0000, 0.0000, 0.5000).

As for the uncorrected energy: -84.55 eV/cell.



# 11
Here is a relaxed structure of Re4Tc2Ru3 from Alexandria via LeMat-Bulk. Energies are from GGA-PBE.

The structure belongs to space group C2/c (No. 15); the cell edges are 12.6299, 9.2354 and 4.6564 Å and the angles 90.00°, 98.99° and 90.00°. The distinct sites, in fractional coordinates, are Re at (0.0639, 0.1059, 0.0392), Re at (0.1041, 0.3946, 0.2970), Tc at (0.2297, 0.3946, 0.8691), Ru at (0.0000, 0.3398, 0.7500) and Ru at (0.1657, 0.1606, 0.5824).

As for the uncorrected energy: -387.00 eV/cell.



# 12
Here is a relaxed structure of Re2TcRu from Alexandria via LeMat-Bulk. Energies are from GGA-PBE.

The structure belongs to space group Amm2 (No. 38); the cell edges are 4.2846, 2.7421 and 10.1319 Å and the angles 90.00°, 90.00° and 90.00°. The distinct sites, in fractional coordinates, are Re at (0.0000, 0.0000, 0.0000), Re at (0.5000, 0.0000, 0.1330), Tc at (0.5000, 0.0000, 0.3910) and Ru at (0.0000, 0.0000, 0.7384).

As for the uncorrected energy: -88.17 eV/cell.



Respective ΔH_f (0 K) values: 0.31; 1.33; 0.05; 0.35; 0.11; 0.05; 0.36; 0.06; 0.05; 0.05; 0.18; 0.11 eV per atom.